DFT (meta-GGA SCAN) results for a PBEsol-optimized structure of LaIrPt2.

Output
- M_tot: 0.00 μB per cell
- Space group: F-43m
- Formation energy from the elements: -163 meV per atom

Cell lengths 4.6858, 4.6858, 4.6858 Å; angles 60.00, 60.00, 60.00 degrees
Element x y z (fractional)
La (0.0000, 0.0000, 0.0000)
Ir (0.7500, 0.7500, 0.7500)
Pt (0.2500, 0.2500, 0.2500)
Pt (0.5000, 0.5000, 0.5000)



DFT (meta-GGA SCAN) results for a PBEsol-optimized structure of LaIrPt2.

Output
- M_tot: 0.00 μB per cell
- Space group: R-3m
- Formation energy from the elements: -815 meV per atom

Cell lengths 5.4641, 5.4641, 5.4641 Å; angles 48.18, 48.18, 48.18 degrees
Element x y z (fractional)
La (0.0000, 0.0000, 0.0000)
Ir (0.5000, 0.5000, 0.5000)
Pt (0.1982, 0.1982, 0.1982)
Pt (0.8018, 0.8018, 0.8018)



DFT (meta-GGA SCAN) results for a PBEsol-optimized structure of La2IrPt.

Output
- M_tot: 0.00 μB per cell
- Space group: P4/mmm
- Formation energy from the elements: -984 meV per atom

Cell lengths 5.0398, 5.0398, 3.5729 Å; angles 90.00, 90.00, 90.00 degrees
Element x y z (fractional)
La (0.0000, 0.5000, 0.0000)
La (0.5000, 0.0000, 0.0000)
Ir (0.0000, 0.0000, 0.5000)
Pt (0.5000, 0.5000, 0.5000)



DFT (meta-GGA SCAN) results for a PBEsol-optimized structure of LaIr2Pt.

Output
- M_tot: 0.00 μB per cell
- Space group: C2/m
- Formation energy from the elements: -101 meV per atom

Cell lengths 5.6223, 5.6223, 2.8851 Å; angles 104.24, 104.24, 119.44 degrees
Element x y z (fractional)
La (0.0000, 0.0000, 0.0000)
Ir (0.0000, 0.5000, 0.5000)
Ir (0.5000, 0.0000, 0.5000)
Pt (0.5000, 0.5000, 0.0000)



DFT (meta-GGA SCAN) results for a PBEsol-optimized structure of La2IrPt.

Output
- M_tot: 0.00 μB per cell
- Space group: R-3m
- Formation energy from the elements: -1029 meV per atom

Cell lengths 7.2027, 7.2027, 7.2027 Å; angles 33.42, 33.42, 33.42 degrees
Element x y z (fractional)
La (0.2462, 0.2462, 0.2462)
La (0.7538, 0.7538, 0.7538)
Ir (0.5000, 0.5000, 0.5000)
Pt (0.0000, 0.0000, 0.0000)



DFT (meta-GGA SCAN) results for a PBEsol-optimized structure of La2IrPt.

Output
- M_tot: 0.00 μB per cell
- Space group: Amm2
- Formation energy from the elements: -1105 meV per atom

Cell lengths 4.3622, 5.8175, 5.8175 Å; angles 39.63, 90.00, 90.00 degrees
Element x y z (fractional)
La (0.0000, 0.0000, 0.0000)
La (0.5000, 0.2757, 0.2757)
Ir (0.5000, 0.5452, 0.5452)
Pt (0.0000, 0.7236, 0.7236)



DFT (meta-GGA SCAN) results for a PBEsol-optimized structure of LaTeIr2Pt.

Output
- M_tot: 0.94 μB per cell
- Space group: P4/mmm
- Uncorrected formation energy: 249 meV per atom

Cell lengths 4.8484, 4.8484, 4.9498 Å; angles 90.00, 90.00, 90.00 degrees
Element x y z (fractional)
La (0.0000, 0.0000, 0.0000)
Te (0.5000, 0.5000, 0.5000)
Ir (0.0000, 0.5000, 0.5000)
Ir (0.5000, 0.0000, 0.5000)
Pt (0.5000, 0.5000, 0.0000)



DFT (meta-GGA SCAN) results for a PBEsol-optimized structure of RbLa2YIr.

Output
- M_tot: 0.00 μB per cell
- Space group: P4/mmm
- Formation energy from the elements: 675 meV per atom

Cell lengths 5.9034, 5.9034, 5.0287 Å; angles 90.00, 90.00, 90.00 degrees
Element x y z (fractional)
Rb (0.0000, 0.0000, 0.0000)
La (0.0000, 0.5000, 0.5000)
La (0.5000, 0.0000, 0.5000)
Y (0.5000, 0.5000, 0.5000)
Ir (0.5000, 0.5000, 0.0000)



Please write out number 5 again, unchanged.
DFT (meta-GGA SCAN) results for a PBEsol-optimized structure of La2IrPt.

Output
- M_tot: 0.00 μB per cell
- Space group: R-3m
- Formation energy from the elements: -1029 meV per atom

Cell lengths 7.2027, 7.2027, 7.2027 Å; angles 33.42, 33.42, 33.42 degrees
Element x y z (fractional)
La (0.2462, 0.2462, 0.2462)
La (0.7538, 0.7538, 0.7538)
Ir (0.5000, 0.5000, 0.5000)
Pt (0.0000, 0.0000, 0.0000)



- Which value of M_tot does entry 7 give?
  0.94 μB per cell



- M_tot of number 3 (La2IrPt)?
  0.00 μB per cell